# 1
Density functional theory data (meta-GGA SCAN) for a crystal of BaCo2Au relaxed with PBEsol.

Cell lengths 6.148, 6.148, 6.148 Å; angles 39.72, 39.72, 39.72 degrees
Fractional positions:
1 Ba 0.000 0.000 0.000
2 Co 0.483 0.483 0.483
3 Co 0.810 0.810 0.810
4 Au 0.194 0.194 0.194

## Properties
ρ   8.8 g cm⁻³
Formation enthalpy at 0 K   -0.2 kJ per mole of atoms
Total energy   -35.831 eV per atom
DOS at the Fermi energy   3.84 states/eV per cell


# 2
Density functional theory data (meta-GGA SCAN) for a crystal of BaCrAu2 relaxed with PBEsol.

Cell lengths 6.145, 6.145, 6.145 Å; angles 43.93, 43.93, 43.93 degrees
Fractional positions:
1 Ba 0.000 0.000 0.000
2 Cr 0.500 0.500 0.500
3 Au 0.199 0.199 0.199
4 Au 0.801 0.801 0.801

## Properties
ρ   9.5 g cm⁻³
Formation enthalpy at 0 K   -49.8 kJ per mole of atoms
Total energy   -49.578 eV per atom
DOS at the Fermi energy   2.15 states/eV per cell


# 3
Density functional theory data (meta-GGA SCAN) for a crystal of BaCr2Au relaxed with PBEsol.

Cell lengths 3.200, 4.655, 6.260 Å; angles 90.00, 102.97, 90.00 degrees
Fractional positions:
1 Ba 0.000 0.000 0.000
2 Cr 0.251 0.500 0.613
3 Cr 0.749 0.500 0.387
4 Au 0.500 0.000 0.500

## Properties
ρ   8.0 g cm⁻³
Formation enthalpy at 0 K   66.4 kJ per mole of atoms
Total energy   -35.681 eV per atom
DOS at the Fermi energy   4.52 states/eV per cell


# 4
Density functional theory data (meta-GGA SCAN) for a crystal of BaCrAu3 relaxed with PBEsol.

Cell lengths 5.021, 5.021, 5.021 Å; angles 90.00, 90.00, 90.00 degrees
Fractional positions:
1 Ba 0.000 0.000 0.000
2 Cr 0.500 0.500 0.500
3 Au 0.000 0.500 0.500
4 Au 0.500 0.000 0.500
5 Au 0.500 0.500 0.000

## Properties
ρ   10.2 g cm⁻³
Formation enthalpy at 0 K   -35.6 kJ per mole of atoms
Total energy   -53.451 eV per atom
DOS at the Fermi energy   1.55 states/eV per cell


# 5
Density functional theory data (meta-GGA SCAN) for a crystal of BaCr4Au relaxed with PBEsol.

Cell lengths 5.108, 5.108, 5.108 Å; angles 60.00, 60.00, 60.00 degrees
Fractional positions:
1 Ba 0.000 0.000 0.000
2 Cr 0.382 0.382 0.382
3 Cr 0.382 0.382 0.853
4 Cr 0.382 0.853 0.382
5 Cr 0.853 0.382 0.382
6 Au 0.750 0.750 0.750

## Properties
ρ   9.6 g cm⁻³
Formation enthalpy at 0 K   105.6 kJ per mole of atoms
Total energy   -29.280 eV per atom
DOS at the Fermi energy   7.24 states/eV per cell


# 6
Density functional theory data (meta-GGA SCAN) for a crystal of BaCrAu relaxed with PBEsol.

Cell lengths 5.082, 5.082, 5.082 Å; angles 60.00, 60.00, 60.00 degrees
Fractional positions:
1 Ba 0.000 0.000 0.000
2 Cr 0.500 0.500 0.500
3 Au 0.750 0.750 0.750

## Properties
ρ   6.9 g cm⁻³
Formation enthalpy at 0 K   -4.1 kJ per mole of atoms
Total energy   -42.407 eV per atom
DOS at the Fermi energy   1.02 states/eV per cell


# 7
Density functional theory data (meta-GGA SCAN) for a crystal of Ba2CrAu relaxed with PBEsol.

Cell lengths 3.789, 3.789, 9.154 Å; angles 90.00, 90.00, 90.00 degrees
Fractional positions:
1 Ba 0.000 0.000 0.000
2 Ba 0.500 0.500 0.410
3 Cr 0.000 0.000 0.664
4 Au 0.500 0.500 0.763

## Properties
ρ   6.6 g cm⁻³
Formation enthalpy at 0 K   -7.6 kJ per mole of atoms
Total energy   -41.739 eV per atom
DOS at the Fermi energy   2.65 states/eV per cell


# 8
Density functional theory data (meta-GGA SCAN) for a crystal of Ba2ZrCrAu relaxed with PBEsol.

Cell lengths 6.200, 6.200, 5.185 Å; angles 90.00, 90.00, 90.00 degrees
Fractional positions:
1 Ba 0.000 0.500 0.000
2 Ba 0.500 0.000 0.000
3 Zr 0.000 0.000 0.500
4 Cr 0.500 0.500 0.500
5 Au 0.000 0.000 0.000

## Properties
ρ   5.1 g cm⁻³
Formation enthalpy at 0 K   36.0 kJ per mole of atoms
Total energy   -39.095 eV per atom
DOS at the Fermi energy   4.30 states/eV per cell


Question: Which formula does entry 7 have?
Answer: Ba2CrAu


Repeat the first record exactly.
Density functional theory data (meta-GGA SCAN) for a crystal of BaCo2Au relaxed with PBEsol.

Cell lengths 6.148, 6.148, 6.148 Å; angles 39.72, 39.72, 39.72 degrees
Fractional positions:
1 Ba 0.000 0.000 0.000
2 Co 0.483 0.483 0.483
3 Co 0.810 0.810 0.810
4 Au 0.194 0.194 0.194

## Properties
ρ   8.8 g cm⁻³
Formation enthalpy at 0 K   -0.2 kJ per mole of atoms
Total energy   -35.831 eV per atom
DOS at the Fermi energy   3.84 states/eV per cell


Question: Number 8 is which compound?
Answer: Ba2ZrCrAu